a) Below is an optimized crystal structure of Tb3Pm4Er, with properties calculated at the PBE-GGA level.

Cell: 11.545 7.318 6.316 Å, 90.00 90.00 90.00°
Atoms (fractional coordinates):
Tb1 0.000 0.124 0.000
Tb2 0.250 0.122 0.332
Tb3 0.250 0.878 0.832
Tb4 0.500 0.876 0.500
Tb5 0.750 0.122 0.332
Tb6 0.750 0.878 0.832
Pm1 0.000 0.373 0.501
Pm2 0.000 0.627 0.997
Pm3 0.248 0.627 0.333
Pm4 0.252 0.373 0.833
Pm5 0.500 0.373 0.497
Pm6 0.500 0.627 0.001
Pm7 0.748 0.373 0.833
Pm8 0.752 0.627 0.333
Er1 0.000 0.879 0.499
Er2 0.500 0.121 0.999

=====

b) Below is an optimized crystal structure of Tb3Pm4Er, with properties calculated at the PBE-GGA level.

Cell: 11.890 11.890 6.809 Å, 106.53 106.53 16.91°
Atoms (fractional coordinates):
Tb1 0.000 0.000 0.000
Tb2 0.123 0.123 0.382
Tb3 0.877 0.877 0.618
Pm1 0.124 0.124 0.867
Pm2 0.259 0.259 0.263
Pm3 0.741 0.741 0.737
Pm4 0.876 0.876 0.133
Er1 0.500 0.500 0.500

=====

Which of them is the least stable? Correct choice: b).

=====

a) Below is an optimized crystal structure of Tb2Pm7Er, with properties calculated at the PBE-GGA level.

Cell: 10.309 10.309 3.524 Å, 90.00 90.00 108.66°
Atoms (fractional coordinates):
Tb1 0.167 0.833 0.000
Tb2 0.833 0.167 0.000
Pm1 0.127 0.383 0.000
Pm2 0.323 0.677 0.500
Pm3 0.383 0.127 0.000
Pm4 0.500 0.500 0.000
Pm5 0.617 0.873 0.000
Pm6 0.677 0.323 0.500
Pm7 0.873 0.617 0.000
Er1 0.000 0.000 0.500

=====

b) Below is an optimized crystal structure of Tb2Pm7Er, with properties calculated at the PBE-GGA level.

Cell: 9.479 9.479 5.528 Å, 90.00 90.00 124.95°
Atoms (fractional coordinates):
Tb1 0.205 0.795 0.000
Tb2 0.795 0.205 0.000
Pm1 0.000 0.000 0.000
Pm2 0.210 0.432 0.000
Pm3 0.290 0.710 0.500
Pm4 0.432 0.210 0.000
Pm5 0.568 0.790 0.000
Pm6 0.710 0.290 0.500
Pm7 0.790 0.568 0.000
Er1 0.500 0.500 0.500

=====

Which of them is the least stable? Correct choice: b).

=====

a) Below is an optimized crystal structure of TbPmEr6, with properties calculated at the PBE-GGA level.

Cell: 5.621 7.193 7.193 Å, 60.02 90.00 90.00°
Atoms (fractional coordinates):
Tb1 0.000 0.000 0.000
Pm1 0.500 0.834 0.834
Er1 0.000 0.500 0.500
Er2 0.000 0.500 0.999
Er3 0.000 0.999 0.500
Er4 0.500 0.333 0.333
Er5 0.500 0.333 0.835
Er6 0.500 0.835 0.333

=====

b) Below is an optimized crystal structure of TbPmEr6, with properties calculated at the PBE-GGA level.

Cell: 6.986 6.986 6.986 Å, 110.26 110.26 110.26°
Atoms (fractional coordinates):
Tb1 0.000 0.000 0.000
Pm1 0.500 0.500 0.500
Er1 0.248 0.750 0.750
Er2 0.250 0.250 0.752
Er3 0.250 0.752 0.250
Er4 0.750 0.248 0.750
Er5 0.750 0.750 0.248
Er6 0.752 0.250 0.250

=====

Which of them is the least stable? Correct choice: b).

=====

a) Below is an optimized crystal structure of TbPm12Er6, with properties calculated at the PBE-GGA level.

Cell: 8.624 8.624 8.624 Å, 88.87 88.87 88.87°
Atoms (fractional coordinates):
Tb1 0.000 0.000 0.000
Pm1 0.017 0.362 0.196
Pm2 0.196 0.017 0.362
Pm3 0.220 0.567 0.463
Pm4 0.362 0.196 0.017
Pm5 0.433 0.537 0.780
Pm6 0.463 0.220 0.567
Pm7 0.537 0.780 0.433
Pm8 0.567 0.463 0.220
Pm9 0.638 0.804 0.983
Pm10 0.780 0.433 0.537
Pm11 0.804 0.983 0.638
Pm12 0.983 0.638 0.804
Er1 0.099 0.259 0.702
Er2 0.259 0.702 0.099
Er3 0.298 0.901 0.741
Er4 0.702 0.099 0.259
Er5 0.741 0.298 0.901
Er6 0.901 0.741 0.298

=====

b) Below is an optimized crystal structure of TbPm12Er6, with properties calculated at the PBE-GGA level.

Cell: 9.521 9.521 9.521 Å, 110.91 110.91 110.91°
Atoms (fractional coordinates):
Tb1 0.000 0.000 0.000
Pm1 0.056 0.371 0.580
Pm2 0.105 0.737 0.158
Pm3 0.158 0.105 0.737
Pm4 0.263 0.842 0.895
Pm5 0.371 0.580 0.056
Pm6 0.420 0.944 0.629
Pm7 0.580 0.056 0.371
Pm8 0.629 0.420 0.944
Pm9 0.737 0.158 0.105
Pm10 0.842 0.895 0.263
Pm11 0.895 0.263 0.842
Pm12 0.944 0.629 0.420
Er1 0.213 0.472 0.317
Er2 0.317 0.213 0.472
Er3 0.472 0.317 0.213
Er4 0.528 0.683 0.787
Er5 0.683 0.787 0.528
Er6 0.787 0.528 0.683

=====

Which of them is the least stable? Correct choice: a).

=====

a) Below is an optimized crystal structure of Tb3Pm7Er2, with properties calculated at the PBE-GGA level.

Cell: 19.332 19.332 3.619 Å, 90.00 90.00 162.78°
Atoms (fractional coordinates):
Tb1 0.000 0.000 0.000
Tb2 0.184 0.816 0.000
Tb3 0.816 0.184 0.000
Pm1 0.093 0.907 0.500
Pm2 0.268 0.732 0.500
Pm3 0.427 0.573 0.000
Pm4 0.500 0.500 0.500
Pm5 0.573 0.427 0.000
Pm6 0.732 0.268 0.500
Pm7 0.907 0.093 0.500
Er1 0.351 0.649 0.500
Er2 0.649 0.351 0.500

=====

b) Below is an optimized crystal structure of Tb3Pm7Er2, with properties calculated at the PBE-GGA level.

Cell: 11.829 11.829 11.829 Å, 32.30 32.30 32.30°
Atoms (fractional coordinates):
Tb1 0.000 0.000 0.000
Tb2 0.152 0.152 0.152
Tb3 0.848 0.848 0.848
Pm1 0.078 0.587 0.587
Pm2 0.413 0.413 0.922
Pm3 0.413 0.922 0.413
Pm4 0.500 0.500 0.500
Pm5 0.587 0.078 0.587
Pm6 0.587 0.587 0.078
Pm7 0.922 0.413 0.413
Er1 0.334 0.334 0.334
Er2 0.666 0.666 0.666

=====

Which of them is the least stable? Correct choice: b).

=====

a) Below is an optimized crystal structure of Tb2Pm7Er2, with properties calculated at the PBE-GGA level.

Cell: 6.963 6.963 8.200 Å, 101.68 101.68 78.28°
Atoms (fractional coordinates):
Tb1 0.049 0.049 0.310
Tb2 0.951 0.951 0.690
Pm1 0.023 0.418 0.680
Pm2 0.236 0.236 0.052
Pm3 0.418 0.023 0.680
Pm4 0.500 0.500 0.500
Pm5 0.582 0.977 0.320
Pm6 0.764 0.764 0.948
Pm7 0.977 0.582 0.320
Er1 0.291 0.709 0.000
Er2 0.709 0.291 0.000

=====

b) Below is an optimized crystal structure of Tb2Pm7Er2, with properties calculated at the PBE-GGA level.

Cell: 9.449 9.449 9.449 Å, 145.22 63.47 128.70°
Atoms (fractional coordinates):
Tb1 0.201 0.000 0.201
Tb2 0.799 0.000 0.799
Pm1 0.069 0.704 0.365
Pm2 0.201 0.201 0.000
Pm3 0.335 0.498 0.837
Pm4 0.339 0.704 0.635
Pm5 0.661 0.498 0.163
Pm6 0.663 0.295 0.367
Pm7 0.928 0.295 0.633
Er1 0.499 0.999 0.500
Er2 0.784 0.784 0.000

=====

Which of them is the least stable? Correct choice: a).

=====

a) Below is an optimized crystal structure of TbPm4Er4, with properties calculated at the PBE-GGA level.

Cell: 8.002 8.002 8.002 Å, 95.71 95.71 143.24°
Atoms (fractional coordinates):
Tb1 0.000 0.000 0.000
Pm1 0.000 0.331 0.331
Pm2 0.000 0.669 0.669
Pm3 0.331 0.000 0.331
Pm4 0.669 0.000 0.669
Er1 0.334 0.334 0.668
Er2 0.334 0.666 0.000
Er3 0.666 0.334 0.000
Er4 0.666 0.666 0.332

=====

b) Below is an optimized crystal structure of TbPm4Er4, with properties calculated at the PBE-GGA level.

Cell: 8.888 8.888 6.792 Å, 112.10 112.10 36.67°
Atoms (fractional coordinates):
Tb1 0.000 0.000 0.000
Pm1 0.220 0.220 0.286
Pm2 0.366 0.366 0.040
Pm3 0.634 0.634 0.960
Pm4 0.780 0.780 0.714
Er1 0.124 0.124 0.675
Er2 0.428 0.428 0.624
Er3 0.572 0.572 0.376
Er4 0.876 0.876 0.325

=====

Which of them is the least stable? Correct choice: b).

=====

a) Below is an optimized crystal structure of Tb4Pm3Er, with properties calculated at the PBE-GGA level.

Cell: 11.903 11.903 6.767 Å, 106.47 106.47 16.84°
Atoms (fractional coordinates):
Tb1 0.124 0.124 0.383
Tb2 0.259 0.259 0.265
Tb3 0.741 0.741 0.735
Tb4 0.876 0.876 0.617
Pm1 0.000 0.000 0.000
Pm2 0.126 0.126 0.868
Pm3 0.874 0.874 0.132
Er1 0.500 0.500 0.500

=====

b) Below is an optimized crystal structure of Tb4Pm3Er, with properties calculated at the PBE-GGA level.

Cell: 11.468 7.314 6.314 Å, 90.00 90.00 90.00°
Atoms (fractional coordinates):
Tb1 0.000 0.123 0.000
Tb2 0.000 0.876 0.498
Tb3 0.248 0.124 0.666
Tb4 0.252 0.876 0.166
Tb5 0.500 0.124 0.998
Tb6 0.500 0.877 0.500
Tb7 0.748 0.876 0.166
Tb8 0.752 0.124 0.666
Pm1 0.000 0.627 0.999
Pm2 0.250 0.375 0.166
Pm3 0.250 0.625 0.666
Pm4 0.500 0.373 0.499
Pm5 0.750 0.375 0.166
Pm6 0.750 0.625 0.666
Er1 0.000 0.373 0.501
Er2 0.500 0.627 0.001

=====

Which of them is the least stable? Correct choice: a).

=====

a) Below is an optimized crystal structure of TbPm6Er3, with properties calculated at the PBE-GGA level.

Cell: 11.709 11.709 6.413 Å, 90.00 90.00 130.65°
Atoms (fractional coordinates):
Tb1 0.158 0.842 0.500
Tb2 0.842 0.158 0.000
Pm1 0.016 0.984 0.300
Pm2 0.106 0.545 0.810
Pm3 0.260 0.380 0.059
Pm4 0.301 0.699 0.283
Pm5 0.380 0.260 0.559
Pm6 0.455 0.894 0.810
Pm7 0.545 0.106 0.310
Pm8 0.620 0.740 0.059
Pm9 0.699 0.301 0.783
Pm10 0.740 0.620 0.559
Pm11 0.894 0.455 0.310
Pm12 0.984 0.016 0.800
Er1 0.042 0.293 0.477
Er2 0.293 0.042 0.977
Er3 0.419 0.581 0.579
Er4 0.581 0.419 0.079
Er5 0.707 0.958 0.477
Er6 0.958 0.707 0.977

=====

b) Below is an optimized crystal structure of TbPm6Er3, with properties calculated at the PBE-GGA level.

Cell: 11.088 11.088 6.290 Å, 90.00 90.00 120.57°
Atoms (fractional coordinates):
Tb1 0.198 0.802 0.500
Tb2 0.802 0.198 0.000
Pm1 0.038 0.962 0.720
Pm2 0.056 0.476 0.254
Pm3 0.280 0.720 0.970
Pm4 0.290 0.374 0.072
Pm5 0.374 0.290 0.572
Pm6 0.476 0.056 0.754
Pm7 0.524 0.944 0.254
Pm8 0.626 0.710 0.072
Pm9 0.710 0.626 0.572
Pm10 0.720 0.280 0.470
Pm11 0.944 0.524 0.754
Pm12 0.962 0.038 0.220
Er1 0.055 0.282 0.652
Er2 0.282 0.055 0.152
Er3 0.386 0.614 0.537
Er4 0.614 0.386 0.037
Er5 0.718 0.945 0.652
Er6 0.945 0.718 0.152

=====

Which of them is the least stable? Correct choice: b).

=====

a) Below is an optimized crystal structure of Tb2PmEr9, with properties calculated at the PBE-GGA level.

Cell: 11.144 11.144 3.492 Å, 90.00 90.00 120.00°
Atoms (fractional coordinates):
Tb1 0.333 0.667 0.000
Tb2 0.667 0.333 0.000
Pm1 0.000 0.000 0.000
Er1 0.000 0.500 0.000
Er2 0.178 0.355 0.500
Er3 0.178 0.822 0.500
Er4 0.355 0.178 0.500
Er5 0.500 0.000 0.000
Er6 0.500 0.500 0.000
Er7 0.645 0.822 0.500
Er8 0.822 0.178 0.500
Er9 0.822 0.645 0.500

=====

b) Below is an optimized crystal structure of Tb2PmEr9, with properties calculated at the PBE-GGA level.

Cell: 4.988 4.988 14.962 Å, 90.00 90.00 90.00°
Atoms (fractional coordinates):
Tb1 0.000 0.000 0.166
Tb2 0.000 0.000 0.834
Pm1 0.000 0.000 0.500
Er1 0.000 0.500 0.000
Er2 0.000 0.500 0.332
Er3 0.000 0.500 0.668
Er4 0.500 0.000 0.000
Er5 0.500 0.000 0.332
Er6 0.500 0.000 0.668
Er7 0.500 0.500 0.166
Er8 0.500 0.500 0.500
Er9 0.500 0.500 0.834

=====

Which of them is the least stable? Correct choice: a).